# 1
# U2Al2CoSi4, relaxed, DFT PBE
data_U2Al2CoSi4
_symmetry_space_group_name_H-M 'I 4/m m m'
_symmetry_Int_Tables_number 139
_symmetry_space_group_name_Hall '-I 4 2'
_cell_length_a 5.973
_cell_length_b 5.973
_cell_length_c 8.123
_cell_angle_alpha 90.00
_cell_angle_beta 90.00
_cell_angle_gamma 90.00
loop_
_atom_site_label
_atom_site_type_symbol
_atom_site_fract_x
_atom_site_fract_y
_atom_site_fract_z
_atom_site_occupancy
U1 U 0.000 0.500 0.250 1
Al1 Al 0.000 0.000 0.216 1
Co1 Co 0.000 0.000 0.500 1
Si1 Si 0.229 0.229 0.000 1
# DOS(E_F) (states/eV/atom): 1.07
# V (A^3/atom): 16.10
# ΔE_f (raw) (eV per atom): -0.348

# 2
# HIrSe2, relaxed, DFT PBE
data_HIrSe2
_symmetry_space_group_name_H-M 'R -3 m'
_symmetry_Int_Tables_number 166
_symmetry_space_group_name_Hall '-R 3 2"'
_cell_length_a 3.8409
_cell_length_b 3.8409
_cell_length_c 17.8089
_cell_angle_alpha 90.00
_cell_angle_beta 90.00
_cell_angle_gamma 120.00
loop_
_atom_site_label
_atom_site_type_symbol
_atom_site_fract_x
_atom_site_fract_y
_atom_site_fract_z
_atom_site_occupancy
H1 H 0.0000 0.0000 0.0000 1
Ir1 Ir 0.0000 0.0000 0.5000 1
Se1 Se 0.0000 0.0000 0.1000 1
# DOS(E_F) (states/eV/atom): 0.00
# Energy above the most stable polymorph in this dataset (meV per atom): 0
# V (A^3/atom): 18.96